Entry 1:
The following is a DFT calculation (PBE) of a geometry-optimized LiLa2Sn9 structure.

Lattice parameters (Å, degrees): 4.762 4.762 14.232 90.00 90.00 90.00
Positions (direct):
Li 0.000 0.000 0.000
La 0.000 0.000 0.334
La 0.000 0.000 0.666
Sn 0.500 0.500 0.000
Sn 0.500 0.500 0.325
Sn 0.500 0.500 0.675
Sn 0.500 0.000 0.155
Sn 0.500 0.000 0.500
Sn 0.500 0.000 0.845
Sn 0.000 0.500 0.155
Sn 0.000 0.500 0.500
Sn 0.000 0.500 0.845

Values from the calculation:
The total DFT energy (no corrections) comes out at -52.90 eV/cell. Its density of states at the Fermi level is 5.327 states/eV/cell. The calculation puts the formation energy at -0.43 eV per atom. Its space group is P4/mmm (123).


Entry 2:
The following is a DFT calculation (PBE) of a geometry-optimized LiLaSn structure.

Lattice parameters (Å, degrees): 4.721 4.721 7.165 90.00 90.00 90.00
Positions (direct):
Li 0.500 0.500 0.500
Li 0.000 0.000 0.500
La 0.000 0.500 0.809
La 0.500 0.000 0.191
Sn 0.000 0.500 0.274
Sn 0.500 0.000 0.726

Values from the calculation:
The total DFT energy (no corrections) comes out at -25.69 eV/cell. Its density of states at the Fermi level is 1.933 states/eV/cell. The calculation puts the formation energy at -0.67 eV per atom. Its space group is P4/nmm (129).


Entry 3:
The following is a DFT calculation (PBE) of a geometry-optimized SrLi2LaSn2 structure.

Lattice parameters (Å, degrees): 4.950 4.950 7.956 90.00 90.00 120.00
Positions (direct):
Sr 0.000 0.000 0.000
Li 0.333 0.667 0.715
Li 0.667 0.333 0.285
La 0.000 0.000 0.500
Sn 0.333 0.667 0.281
Sn 0.667 0.333 0.719

Values from the calculation:
The total DFT energy (no corrections) comes out at -22.12 eV/cell. Its density of states at the Fermi level is 2.783 states/eV/cell. The calculation puts the formation energy at -0.61 eV per atom. Its space group is P-3m1 (164).


Entry 4:
The following is a DFT calculation (PBE) of a geometry-optimized Li2LaTcSn structure.

Lattice parameters (Å, degrees): 4.828 5.114 4.828 90.00 90.00 90.00
Positions (direct):
Tc 0.000 0.000 0.000
Li 0.000 0.000 0.500
Li 0.500 0.000 0.000
Sn 0.000 0.500 0.000
La 0.500 0.500 0.500

Values from the calculation:
The total DFT energy (no corrections) comes out at -22.00 eV/cell. Its density of states at the Fermi level is 5.034 states/eV/cell. The calculation puts the formation energy at 0.22 eV per atom. Its space group is P4/mmm (123).


Entry 5:
The following is a DFT calculation (PBE) of a geometry-optimized Li2LaTh2Sn2 structure.

Lattice parameters (Å, degrees): 4.875 4.875 9.681 75.42 75.42 60.00
Positions (direct):
Li 0.592 0.592 0.224
Li 0.408 0.408 0.776
La 0.000 0.000 0.000
Th 0.132 0.132 0.604
Th 0.868 0.868 0.396
Sn 0.738 0.738 0.786
Sn 0.262 0.262 0.214

Values from the calculation:
The total DFT energy (no corrections) comes out at -33.80 eV/cell. Its density of states at the Fermi level is 5.900 states/eV/cell. The calculation puts the formation energy at -0.31 eV per atom. Its space group is R-3m (166).


Entry 6:
The following is a DFT calculation (PBE) of a geometry-optimized Li2La2ThSn2 structure.

Lattice parameters (Å, degrees): 4.863 4.863 9.714 75.50 75.50 60.00
Positions (direct):
Li 0.598 0.598 0.205
Li 0.402 0.402 0.795
La 0.131 0.131 0.608
La 0.869 0.869 0.392
Th 0.000 0.000 0.000
Sn 0.733 0.733 0.802
Sn 0.267 0.267 0.198

Values from the calculation:
The total DFT energy (no corrections) comes out at -32.02 eV/cell. Its density of states at the Fermi level is 4.960 states/eV/cell. The calculation puts the formation energy at -0.42 eV per atom. Its space group is R-3m (166).


Entry 7:
The following is a DFT calculation (PBE) of a geometry-optimized LiLa2TlSn structure.

Lattice parameters (Å, degrees): 6.088 4.924 6.088 90.00 90.00 90.00
Positions (direct):
Tl 0.000 0.000 0.000
Li 0.000 0.500 0.000
Sn 0.500 0.500 0.500
La 0.000 0.000 0.500
La 0.500 0.000 0.000

Values from the calculation:
The total DFT energy (no corrections) comes out at -18.12 eV/cell. Its density of states at the Fermi level is 5.635 states/eV/cell. The calculation puts the formation energy at 0.00 eV per atom. Its space group is P4/mmm (123).


Entry 8:
The following is a DFT calculation (PBE) of a geometry-optimized LiLaTmSn structure.

Lattice parameters (Å, degrees): 5.332 5.332 5.332 60.00 60.00 60.00
Positions (direct):
Tm 0.000 0.000 0.000
Li 0.750 0.750 0.750
Sn 0.250 0.250 0.250
La 0.500 0.500 0.500

Values from the calculation:
The total DFT energy (no corrections) comes out at -16.93 eV/cell. Its density of states at the Fermi level is 2.675 states/eV/cell. The calculation puts the formation energy at -0.40 eV per atom. Its space group is F-43m (216).


Entry 9:
The following is a DFT calculation (PBE) of a geometry-optimized Li2LaSnW structure.

Lattice parameters (Å, degrees): 4.529 5.688 4.529 90.00 90.00 90.00
Positions (direct):
Li 0.000 0.000 0.500
Li 0.500 0.000 0.000
Sn 0.000 0.500 0.000
W 0.500 0.500 0.500
La 0.000 0.000 0.000

Values from the calculation:
The total DFT energy (no corrections) comes out at -15.86 eV/cell. Its density of states at the Fermi level is 7.020 states/eV/cell. The calculation puts the formation energy at 1.97 eV per atom. Its space group is P4/mmm (123).


Entry 10:
The following is a DFT calculation (PBE) of a geometry-optimized Li2LaY2Sn2 structure.

Lattice parameters (Å, degrees): 4.840 4.840 9.562 75.34 75.34 60.00
Positions (direct):
Li 0.587 0.587 0.239
Li 0.413 0.413 0.761
La 0.000 0.000 0.000
Y 0.131 0.131 0.608
Y 0.869 0.869 0.392
Sn 0.742 0.742 0.775
Sn 0.258 0.258 0.225

Values from the calculation:
The total DFT energy (no corrections) comes out at -33.19 eV/cell. Its density of states at the Fermi level is 4.694 states/eV/cell. The calculation puts the formation energy at -0.50 eV per atom. Its space group is R-3m (166).


Entry 11:
The following is a DFT calculation (PBE) of a geometry-optimized Li3La2ZnSn4 structure.

Lattice parameters (Å, degrees): 4.544 4.544 11.224 90.00 90.00 90.00
Positions (direct):
Li 0.000 0.000 0.500
Li 0.500 0.000 0.867
Li 0.000 0.500 0.133
La 0.500 0.000 0.252
La 0.000 0.500 0.748
Zn 0.500 0.500 0.500
Sn 0.500 0.500 0.000
Sn 0.000 0.000 0.000
Sn 0.500 0.000 0.637
Sn 0.000 0.500 0.363

Values from the calculation:
The total DFT energy (no corrections) comes out at -38.64 eV/cell. Its density of states at the Fermi level is 2.499 states/eV/cell. The calculation puts the formation energy at -0.58 eV per atom. Its space group is P-4m2 (115).


Entry 12:
The following is a DFT calculation (PBE) of a geometry-optimized LiLa2Zn3Sn4 structure.

Lattice parameters (Å, degrees): 4.598 4.598 11.318 90.00 90.00 90.00
Positions (direct):
Li 0.500 0.500 0.500
La 0.500 0.000 0.248
La 0.000 0.500 0.752
Zn 0.000 0.000 0.500
Zn 0.500 0.000 0.862
Zn 0.000 0.500 0.138
Sn 0.500 0.500 0.000
Sn 0.000 0.000 0.000
Sn 0.500 0.000 0.634
Sn 0.000 0.500 0.366

Values from the calculation:
The total DFT energy (no corrections) comes out at -36.19 eV/cell. Its density of states at the Fermi level is 3.858 states/eV/cell. The calculation puts the formation energy at -0.46 eV per atom. Its space group is P-4m2 (115).


Entry 13:
The following is a DFT calculation (PBE) of a geometry-optimized SrLi2La2 structure.

Lattice parameters (Å, degrees): 5.438 5.438 7.041 67.29 67.29 90.00
Positions (direct):
Sr 0.000 0.000 0.000
Li 0.750 0.250 0.500
Li 0.250 0.750 0.500
La 0.379 0.379 0.242
La 0.621 0.621 0.758

Values from the calculation:
The relative energy among the computed polymorphs comes out at 155.2 meV/atom. The total DFT energy (no corrections) comes out at -13.72 eV/cell. Its density of states at the Fermi level is 3.853 states/eV/cell. The calculation puts the formation energy at 0.33 eV per atom. Its space group is I4/mmm (139).


Entry 14:
The following is a DFT calculation (PBE) of a geometry-optimized SrLi2La2 structure.

Lattice parameters (Å, degrees): 9.540 9.540 3.720 90.00 90.00 90.00
Positions (direct):
Sr 0.000 0.000 0.000
Sr 0.500 0.500 0.000
Li 0.331 0.831 0.000
Li 0.831 0.669 0.000
Li 0.669 0.169 0.000
Li 0.169 0.331 0.000
La 0.121 0.621 0.500
La 0.621 0.879 0.500
La 0.879 0.379 0.500
La 0.379 0.121 0.500

Values from the calculation:
The relative energy among the computed polymorphs comes out at 9.3 meV/atom. The total DFT energy (no corrections) comes out at -28.89 eV/cell. Its density of states at the Fermi level is 11.760 states/eV/cell. The calculation puts the formation energy at 0.18 eV per atom. Its space group is P4/mbm (127).


Entry 15:
The following is a DFT calculation (PBE) of a geometry-optimized Sr2LiLa structure.

Lattice parameters (Å, degrees): 7.101 7.101 7.101 136.33 136.33 63.47
Positions (direct):
La 0.500 0.500 0.000
Li 0.750 0.250 0.500
Sr 0.000 0.000 0.000
Sr 0.250 0.750 0.500

Values from the calculation:
The relative energy among the computed polymorphs comes out at 129.0 meV/atom. The total DFT energy (no corrections) comes out at -9.25 eV/cell. Its density of states at the Fermi level is 6.735 states/eV/cell. The calculation puts the formation energy at 0.24 eV per atom. Its space group is I-4m2 (119).


Entry 16:
The following is a DFT calculation (PBE) of a geometry-optimized SrLi2La structure.

Lattice parameters (Å, degrees): 11.570 11.570 11.570 18.70 18.70 18.70
Positions (direct):
La 0.750 0.750 0.750
Li 0.002 0.002 0.002
Li 0.498 0.498 0.498
Sr 0.250 0.250 0.250

Values from the calculation:
The relative energy among the computed polymorphs comes out at 95.6 meV/atom. The total DFT energy (no corrections) comes out at -9.66 eV/cell. Its density of states at the Fermi level is 5.244 states/eV/cell. The calculation puts the formation energy at 0.19 eV per atom. Its space group is R-3m (166).


Entry 17:
The following is a DFT calculation (PBE) of a geometry-optimized SrLi2La structure.

Lattice parameters (Å, degrees): 5.707 5.707 5.707 60.00 60.00 60.00
Positions (direct):
Sr 0.000 0.000 0.000
Li 0.250 0.250 0.250
Li 0.750 0.750 0.750
La 0.500 0.500 0.500

Values from the calculation:
The relative energy among the computed polymorphs comes out at 33.1 meV/atom. The total DFT energy (no corrections) comes out at -9.91 eV/cell. Its density of states at the Fermi level is 4.328 states/eV/cell. The calculation puts the formation energy at 0.13 eV per atom. Its space group is Fm-3m (225).


Entry 18:
The following is a DFT calculation (PBE) of a geometry-optimized SrLi2La structure.

Lattice parameters (Å, degrees): 3.745 3.745 11.656 80.75 80.75 60.00
Positions (direct):
Sr 0.667 0.667 0.999
Li 0.086 0.086 0.743
Li 0.248 0.248 0.257
La 0.500 0.500 0.500

Values from the calculation:
The relative energy among the computed polymorphs comes out at 99.4 meV/atom. The total DFT energy (no corrections) comes out at -9.65 eV/cell. Its density of states at the Fermi level is 4.605 states/eV/cell. The calculation puts the formation energy at 0.20 eV per atom. Its space group is R3m (160).


Entry 19:
The following is a DFT calculation (PBE) of a geometry-optimized Sr2LiLa structure.

Lattice parameters (Å, degrees): 6.177 6.177 6.177 60.00 60.00 60.00
Positions (direct):
Sr 0.250 0.250 0.250
Sr 0.750 0.750 0.750
Li 0.000 0.000 0.000
La 0.500 0.500 0.500

Values from the calculation:
The relative energy among the computed polymorphs comes out at 141.6 meV/atom. The total DFT energy (no corrections) comes out at -9.20 eV/cell. Its density of states at the Fermi level is 4.463 states/eV/cell. The calculation puts the formation energy at 0.25 eV per atom. Its space group is Fm-3m (225).


Entry 20:
The following is a DFT calculation (PBE) of a geometry-optimized Sr2LiLa structure.

Lattice parameters (Å, degrees): 5.647 3.921 7.889 74.57 90.00 90.00
Positions (direct):
La 0.000 0.546 0.528
Li 0.500 0.878 0.722
Sr 0.000 0.870 0.983
Sr 0.500 0.206 0.267

Values from the calculation:
The relative energy among the computed polymorphs comes out at 70.2 meV/atom. The total DFT energy (no corrections) comes out at -9.48 eV/cell. Its density of states at the Fermi level is 4.416 states/eV/cell. The calculation puts the formation energy at 0.18 eV per atom. Its space group is Pm (6).